# BaHfGe2 (PBE, optimized geometry)
# * polymorph energy (0 for the lowest one): 0 meV/atom
# * calculated volume: 112 Å³/f.u.
# * calculated total energy: -5.63 eV/atom
# * formation energy: -0.349 eV/atom
# * total moment: 0.000 Bohr magnetons per cell
data_BaHfGe2
_chemical_formula_sum 'Ba3 Hf3 Ge6'
_space_group_name_H-M_alt 'R -3 m'
_space_group_IT_number 166
_space_group_name_Hall '-R 3 2"'
_cell_length_a 4.4318
_cell_length_b 4.4318
_cell_length_c 19.7701
_cell_angle_alpha 90.00
_cell_angle_beta 90.00
_cell_angle_gamma 120.00
loop_
_atom_site_label
_atom_site_type_symbol
_atom_site_fract_x
_atom_site_fract_y
_atom_site_fract_z
Ba1 Ba 0.0000 0.0000 0.0000
Hf1 Hf 0.0000 0.0000 0.5000
Ge1 Ge 0.0000 0.0000 0.2209

# BaHfGe2 (PBE, optimized geometry)
# * polymorph energy (0 for the lowest one): 396 meV/atom
# * calculated volume: 99 Å³/f.u.
# * calculated total energy: -5.23 eV/atom
# * formation energy: 0.047 eV/atom
# * total moment: 0.000 Bohr magnetons per cell
data_BaHfGe2
_chemical_formula_sum 'Ba4 Hf4 Ge8'
_space_group_name_H-M_alt 'F m -3 m'
_space_group_IT_number 225
_space_group_name_Hall '-F 4 2 3'
_cell_length_a 7.3319
_cell_length_b 7.3319
_cell_length_c 7.3319
_cell_angle_alpha 90.00
_cell_angle_beta 90.00
_cell_angle_gamma 90.00
loop_
_atom_site_label
_atom_site_type_symbol
_atom_site_fract_x
_atom_site_fract_y
_atom_site_fract_z
Ba1 Ba 0.0000 0.0000 0.0000
Hf1 Hf 0.0000 0.0000 0.5000
Ge1 Ge 0.2500 0.2500 0.2500

# BaHfGe2 (PBE, optimized geometry)
# * polymorph energy (0 for the lowest one): 263 meV/atom
# * calculated volume: 138 Å³/f.u.
# * calculated total energy: -5.36 eV/atom
# * formation energy: -0.086 eV/atom
# * total moment: 0.000 Bohr magnetons per cell
data_BaHfGe2
_chemical_formula_sum 'Ba4 Hf4 Ge8'
_space_group_name_H-M_alt 'I -4 2 d'
_space_group_IT_number 122
_space_group_name_Hall 'I -4 2bw'
_cell_length_a 5.6245
_cell_length_b 5.6245
_cell_length_c 17.3885
_cell_angle_alpha 90.00
_cell_angle_beta 90.00
_cell_angle_gamma 90.00
loop_
_atom_site_label
_atom_site_type_symbol
_atom_site_fract_x
_atom_site_fract_y
_atom_site_fract_z
Ba1 Ba 0.0000 0.0000 0.0000
Hf1 Hf 0.0000 0.0000 0.5000
Ge1 Ge 0.0608 0.2500 0.6250

# Ba2HfGeN (PBE, optimized geometry)
# * calculated volume: 199 Å³/f.u.
# * calculated total energy: -4.15 eV/atom
# * uncorrected formation energy: 116 kJ per mole of atoms
# * total moment: 2.050 Bohr magnetons per cell
data_Ba2HfGeN
_chemical_formula_sum 'Ba2 Hf1 Ge1 N1'
_space_group_name_H-M_alt 'P 4/m m m'
_space_group_IT_number 123
_space_group_name_Hall '-P 4 2'
_cell_length_a 6.2695
_cell_length_b 6.2695
_cell_length_c 5.0732
_cell_angle_alpha 90.00
_cell_angle_beta 90.00
_cell_angle_gamma 90.00
loop_
_atom_site_label
_atom_site_type_symbol
_atom_site_fract_x
_atom_site_fract_y
_atom_site_fract_z
Ba1 Ba 0.0000 0.5000 0.0000
Hf1 Hf 0.0000 0.0000 0.0000
Ge1 Ge 0.0000 0.0000 0.5000
N1 N 0.5000 0.5000 0.5000

# BaNaHf2Ge (PBE, optimized geometry)
# * calculated volume: 141 Å³/f.u.
# * calculated total energy: -4.37 eV/atom
# * formation energy: 1.180 eV/atom
# * total moment: 0.000 Bohr magnetons per cell
data_BaNaHf2Ge
_chemical_formula_sum 'Ba1 Na1 Hf2 Ge1'
_space_group_name_H-M_alt 'P 4/m m m'
_space_group_IT_number 123
_space_group_name_Hall '-P 4 2'
_cell_length_a 5.2358
_cell_length_b 5.2358
_cell_length_c 5.1318
_cell_angle_alpha 90.00
_cell_angle_beta 90.00
_cell_angle_gamma 90.00
loop_
_atom_site_label
_atom_site_type_symbol
_atom_site_fract_x
_atom_site_fract_y
_atom_site_fract_z
Ba1 Ba 0.0000 0.0000 0.0000
Na1 Na 0.5000 0.5000 0.5000
Hf1 Hf 0.0000 0.5000 0.5000
Ge1 Ge 0.5000 0.5000 0.0000

# Ba2HfGeO6 (PBE, optimized geometry)
# * calculated volume: 144 Å³/f.u.
# * calculated total energy: -7.54 eV/atom
# * uncorrected formation energy: -263 kJ per mole of atoms
# * total moment: 0.000 Bohr magnetons per cell
data_Ba2HfGeO6
_chemical_formula_sum 'Ba12 Hf6 Ge6 O36'
_space_group_name_H-M_alt 'R -3 m'
_space_group_IT_number 166
_space_group_name_Hall '-R 3 2"'
_cell_length_a 5.8786
_cell_length_b 5.8786
_cell_length_c 28.8541
_cell_angle_alpha 90.00
_cell_angle_beta 90.00
_cell_angle_gamma 120.00
loop_
_atom_site_label
_atom_site_type_symbol
_atom_site_fract_x
_atom_site_fract_y
_atom_site_fract_z
Ba1 Ba 0.0000 0.0000 0.1322
Ba2 Ba 0.0000 0.0000 0.2818
Hf1 Hf 0.0000 0.0000 0.4056
Ge1 Ge 0.0000 0.0000 0.0000
Ge2 Ge 0.0000 0.0000 0.5000
O1 O 0.0166 0.5083 0.7048
O2 O 0.0333 0.5167 0.1249

# Ba3HfGe2O9 (PBE, optimized geometry)
# * calculated volume: 198 Å³/f.u.
# * calculated total energy: -7.16 eV/atom
# * uncorrected formation energy: -243 kJ per mole of atoms
# * total moment: 0.000 Bohr magnetons per cell
data_Ba3HfGe2O9
_chemical_formula_sum 'Ba3 Hf1 Ge2 O9'
_space_group_name_H-M_alt 'P -3 m 1'
_space_group_IT_number 164
_space_group_name_Hall '-P 3 2"'
_cell_length_a 5.7154
_cell_length_b 5.7154
_cell_length_c 7.0113
_cell_angle_alpha 90.00
_cell_angle_beta 90.00
_cell_angle_gamma 120.00
loop_
_atom_site_label
_atom_site_type_symbol
_atom_site_fract_x
_atom_site_fract_y
_atom_site_fract_z
Ba1 Ba 0.0000 0.0000 0.0000
Ba2 Ba 0.3333 0.6667 0.6775
Hf1 Hf 0.0000 0.0000 0.5000
Ge1 Ge 0.3333 0.6667 0.1677
O1 O 0.0000 0.5000 0.0000
O2 O 0.1726 0.3451 0.3263

# BaHfGe2S8 (PBE, optimized geometry)
# * calculated volume: 289 Å³/f.u.
# * calculated total energy: -5.23 eV/atom
# * uncorrected formation energy: -69 kJ per mole of atoms
# * total moment: 0.901 Bohr magnetons per cell
data_BaHfGe2S8
_chemical_formula_sum 'Ba1 Hf1 Ge2 S8'
_space_group_name_H-M_alt 'P -3'
_space_group_IT_number 147
_cell_length_a 6.1049
_cell_length_b 6.1049
_cell_length_c 8.9600
_cell_angle_alpha 90.00
_cell_angle_beta 90.00
_cell_angle_gamma 120.00
loop_
_space_group_symop_operation_xyz
'x,y,z'
'-x,-y,-z'
'-y,x-y,z'
'y,-x+y,-z'
'-x+y,-x,z'
'x-y,x,-z'
loop_
_atom_site_label
_atom_site_type_symbol
_atom_site_fract_x
_atom_site_fract_y
_atom_site_fract_z
Ba1 Ba 0.0000 0.0000 0.0000
Hf1 Hf 0.0000 0.0000 0.5000
Ge1 Ge 0.3333 0.6667 0.7397
S1 S 0.0250 0.6867 0.3247
S2 S 0.3333 0.6667 0.9870

# BaHfGe2Se (PBE, optimized geometry)
# * calculated volume: 182 Å³/f.u.
# * calculated total energy: -4.70 eV/atom
# * uncorrected formation energy: 21 kJ per mole of atoms
# * total moment: 0.432 Bohr magnetons per cell
data_BaHfGe2Se
_chemical_formula_sum 'Ba1 Hf1 Ge2 Se1'
_space_group_name_H-M_alt 'P 4/m m m'
_space_group_IT_number 123
_space_group_name_Hall '-P 4 2'
_cell_length_a 5.0571
_cell_length_b 5.0571
_cell_length_c 7.1151
_cell_angle_alpha 90.00
_cell_angle_beta 90.00
_cell_angle_gamma 90.00
loop_
_atom_site_label
_atom_site_type_symbol
_atom_site_fract_x
_atom_site_fract_y
_atom_site_fract_z
Ba1 Ba 0.0000 0.0000 0.0000
Hf1 Hf 0.0000 0.0000 0.5000
Ge1 Ge 0.0000 0.5000 0.5000
Se1 Se 0.5000 0.5000 0.0000

# BaHfTcGe2 (PBE, optimized geometry)
# * calculated volume: 145 Å³/f.u.
# * calculated total energy: -4.19 eV/atom
# * formation energy: 2.105 eV/atom
# * total moment: 0.810 Bohr magnetons per cell
data_BaHfTcGe2
_chemical_formula_sum 'Ba1 Hf1 Tc1 Ge2'
_space_group_name_H-M_alt 'P 4/m m m'
_space_group_IT_number 123
_space_group_name_Hall '-P 4 2'
_cell_length_a 5.3891
_cell_length_b 5.3891
_cell_length_c 5.0058
_cell_angle_alpha 90.00
_cell_angle_beta 90.00
_cell_angle_gamma 90.00
loop_
_atom_site_label
_atom_site_type_symbol
_atom_site_fract_x
_atom_site_fract_y
_atom_site_fract_z
Ba1 Ba 0.0000 0.0000 0.0000
Hf1 Hf 0.5000 0.5000 0.5000
Tc1 Tc 0.0000 0.0000 0.5000
Ge1 Ge 0.0000 0.5000 0.0000

# BaHfGeTe2 (PBE, optimized geometry)
# * calculated volume: 179 Å³/f.u.
# * calculated total energy: -4.00 eV/atom
# * uncorrected formation energy: 54 kJ per mole of atoms
# * total moment: 1.358 Bohr magnetons per cell
data_BaHfGeTe2
_chemical_formula_sum 'Ba1 Hf1 Ge1 Te2'
_space_group_name_H-M_alt 'P 4/m m m'
_space_group_IT_number 123
_space_group_name_Hall '-P 4 2'
_cell_length_a 5.5908
_cell_length_b 5.5908
_cell_length_c 5.7228
_cell_angle_alpha 90.00
_cell_angle_beta 90.00
_cell_angle_gamma 90.00
loop_
_atom_site_label
_atom_site_type_symbol
_atom_site_fract_x
_atom_site_fract_y
_atom_site_fract_z
Ba1 Ba 0.0000 0.0000 0.0000
Hf1 Hf 0.5000 0.5000 0.0000
Ge1 Ge 0.0000 0.0000 0.5000
Te1 Te 0.0000 0.5000 0.5000

# Ba2HfVGe (PBE, optimized geometry)
# * calculated volume: 183 Å³/f.u.
# * calculated total energy: -4.52 eV/atom
# * formation energy: 0.984 eV/atom
# * total moment: 5.586 Bohr magnetons per cell
data_Ba2HfVGe
_chemical_formula_sum 'Ba2 Hf1 V1 Ge1'
_space_group_name_H-M_alt 'P 4/m m m'
_space_group_IT_number 123
_space_group_name_Hall '-P 4 2'
_cell_length_a 6.1571
_cell_length_b 6.1571
_cell_length_c 4.8291
_cell_angle_alpha 90.00
_cell_angle_beta 90.00
_cell_angle_gamma 90.00
loop_
_atom_site_label
_atom_site_type_symbol
_atom_site_fract_x
_atom_site_fract_y
_atom_site_fract_z
Ba1 Ba 0.0000 0.5000 0.0000
Hf1 Hf 0.0000 0.0000 0.5000
V1 V 0.5000 0.5000 0.0000
Ge1 Ge 0.5000 0.5000 0.5000